Entry 1:
Here is an optimized crystal structure of InPd2IN from Alexandria via LeMat-Bulk. Energies are from PBE.

Cell: 4.522 4.522 4.525 Å, 90.00 90.00 90.00°
Atoms (fractional coordinates):
1 In 0.000 0.000 0.000
2 Pd 0.000 0.500 0.500
3 Pd 0.500 0.000 0.500
4 I 0.500 0.500 0.000
5 N 0.000 0.000 0.500

space-group type = P4/mmm (123)
total DFT energy (no corrections) = -4.13 eV per atom

Entry 2:
Here is an optimized crystal structure of InPdIN2 from Alexandria via LeMat-Bulk. Energies are from PBE.

Cell: 4.299 4.299 5.807 Å, 90.00 90.00 90.00°
Atoms (fractional coordinates):
1 In 0.000 0.000 0.000
2 Pd 0.500 0.500 0.500
3 I 0.500 0.500 0.000
4 N 0.000 0.500 0.500
5 N 0.500 0.000 0.500

space-group type = P4/mmm (123)
total DFT energy (no corrections) = -3.88 eV per atom

Entry 3:
Here is an optimized crystal structure of InPtIN2 from Alexandria via LeMat-Bulk. Energies are from PBE.

Cell: 4.123 4.123 6.846 Å, 90.00 90.00 90.00°
Atoms (fractional coordinates):
1 In 0.000 0.000 0.000
2 Pt 0.500 0.500 0.500
3 I 0.000 0.000 0.500
4 N 0.000 0.500 0.000
5 N 0.500 0.000 0.000

space-group type = P4/mmm (123)
total DFT energy (no corrections) = -3.76 eV per atom

Entry 4:
Here is an optimized crystal structure of InPtIN2 from Alexandria via LeMat-Bulk. Energies are from PBE.

Cell: 4.076 4.076 7.718 Å, 90.00 90.00 90.00°
Atoms (fractional coordinates):
1 In 0.000 0.000 0.000
2 Pt 0.500 0.500 0.500
3 I 0.500 0.500 0.000
4 N 0.000 0.500 0.500
5 N 0.500 0.000 0.500

space-group type = P4/mmm (123)
total DFT energy (no corrections) = -4.16 eV per atom

Entry 5:
Here is an optimized crystal structure of RbInI2N from Alexandria via LeMat-Bulk. Energies are from PBE.

Cell: 7.032 7.032 5.443 Å, 90.00 90.00 90.00°
Atoms (fractional coordinates):
1 Rb 0.000 0.000 0.000
2 In 0.500 0.500 0.500
3 I 0.000 0.500 0.000
4 I 0.500 0.000 0.000
5 N 0.000 0.000 0.500

space-group type = P4/mmm (123)
total DFT energy (no corrections) = -2.51 eV per atom

Entry 6:
Here is an optimized crystal structure of RbInIN2 from Alexandria via LeMat-Bulk. Energies are from PBE.

Cell: 5.484 5.484 7.393 Å, 90.00 90.00 90.00°
Atoms (fractional coordinates):
1 Rb 0.000 0.000 0.000
2 In 0.500 0.500 0.500
3 I 0.000 0.000 0.500
4 N 0.000 0.500 0.000
5 N 0.500 0.000 0.000

space-group type = P4/mmm (123)
total DFT energy (no corrections) = -2.85 eV per atom

Entry 7:
Here is an optimized crystal structure of RbInIN2 from Alexandria via LeMat-Bulk. Energies are from PBE.

Cell: 4.790 4.790 6.265 Å, 90.00 90.00 90.00°
Atoms (fractional coordinates):
1 Rb 0.000 0.000 0.000
2 In 0.500 0.500 0.500
3 I 0.500 0.500 0.000
4 N 0.000 0.500 0.500
5 N 0.500 0.000 0.500

space-group type = P4/mmm (123)
total DFT energy (no corrections) = -3.51 eV per atom

Entry 8:
Here is an optimized crystal structure of RbInI2N from Alexandria via LeMat-Bulk. Energies are from PBE.

Cell: 6.282 6.282 4.331 Å, 90.00 90.00 90.00°
Atoms (fractional coordinates):
1 Rb 0.000 0.000 0.000
2 In 0.500 0.500 0.500
3 I 0.000 0.500 0.500
4 I 0.500 0.000 0.500
5 N 0.500 0.500 0.000

space-group type = P4/mmm (123)
total DFT energy (no corrections) = -3.13 eV per atom

no.,Fermi-level density of states (states/eV/f.u.)
1,2.288
2,1.883
3,3.126
4,2.452
5,4.768
6,2.694
7,1.463
8,3.181